[1]
Material: RbPIF2
Method: DFT, PBE
State: relaxed

abc: 4.399 8.133 4.399
angles: 90.00 90.00 90.00
Site moments in Bohr magnetons follow the coordinates.
Element x y z (fractional)
I (0.500, 0.500, 0.500)  0.01
P (0.000, 0.000, 0.000)  0.40
Rb (0.000, 0.500, 0.000)  0.00
F (0.000, 0.000, 0.500)  0.05
F (0.500, 0.000, 0.000)  0.02

Calculated total energy (eV per atom): -3.209
Formation energy without anion corrections (meV/atom): -874.8
Space group: P4/mmm

[2]
Material: CuNiAs2
Method: DFT, PBE
State: relaxed

abc: 4.515 4.515 4.515
angles: 125.66 125.45 80.62
Element x y z (fractional)
As (0.000, 0.000, 0.000)
As (0.500, 0.500, 0.000)
Cu (0.750, 0.250, 0.500)
Ni (0.250, 0.750, 0.500)

Calculated total energy (eV per atom): -4.681
Calculated formation energy (eV/atom): 0.113
Space group: Immm

[3]
Material: Er3ThTe6
Method: DFT, PBE
State: relaxed

abc: 4.317 12.418 12.767
angles: 108.73 90.00 90.00
Element x y z (fractional)
Er (0.750, 0.431, 0.837)
Er (0.250, 0.569, 0.163)
Er (0.750, 0.680, 0.501)
Er (0.250, 0.320, 0.499)
Er (0.750, 0.155, 0.079)
Er (0.250, 0.845, 0.921)
Th (0.750, 0.047, 0.700)
Th (0.250, 0.953, 0.300)
Te (0.750, 0.484, 0.620)
Te (0.250, 0.516, 0.380)
Te (0.750, 0.915, 0.097)
Te (0.250, 0.085, 0.903)
Te (0.750, 0.392, 0.063)
Te (0.250, 0.608, 0.937)
Te (0.750, 0.744, 0.278)
Te (0.250, 0.256, 0.722)
Te (0.750, 0.116, 0.469)
Te (0.250, 0.884, 0.531)
Te (0.750, 0.805, 0.748)
Te (0.250, 0.195, 0.252)

Calculated total energy (eV per atom): -5.308
Formation energy without anion corrections (meV/atom): -1312.5
Space group: P2_1/m

> calculated total energy of number 1 (RbPIF2)?

-3.209 eV per atom